(1)
Below is a relaxed Y2AsP crystal, with properties calculated at the PBE-GGA level.

Calculated values
**Spin magnetization**: 0.000 μB/atom
**Crystal system**: tetragonal
**Final energy**: -7.33 eV/atom
**Calculated formation energy**: -152.9 kJ/mol of atoms

a = 5.757 Å, b = 4.071 Å, c = 4.069 Å
α = 90.00°, β = 90.00°, γ = 90.00°
Atoms (fractional coordinates):
Y 0.500 0.375 0.375
Y 0.000 0.875 0.875
P 0.500 0.875 0.875
As 0.000 0.375 0.375

=====

(2)
Below is a relaxed TmTaIrRh crystal, with properties calculated at the PBE-GGA level.

Calculated values
**Spin magnetization**: 0.000 μB/atom
**Crystal system**: cubic
**Final energy**: -8.70 eV/atom
**Calculated formation energy**: -54.7 kJ/mol of atoms

a = 4.643 Å, b = 4.643 Å, c = 4.643 Å
α = 60.00°, β = 60.00°, γ = 60.00°
Atoms (fractional coordinates):
Ir 0.000 0.000 0.000
Tm 0.750 0.750 0.750
Rh 0.500 0.500 0.500
Ta 0.250 0.250 0.250

=====

(3)
Below is a relaxed Pm2PrDy6Ho3 crystal, with properties calculated at the PBE-GGA level.

Calculated values
**Spin magnetization**: 0.000 μB/atom
**Crystal system**: monoclinic
**Final energy**: -4.62 eV/atom
**Calculated formation energy**: 1.7 kJ/mol of atoms

a = 6.185 Å, b = 6.185 Å, c = 11.815 Å
α = 94.99°, β = 94.99°, γ = 119.97°
Atoms (fractional coordinates):
Pm 0.333 0.667 0.000
Dy 0.581 0.915 0.746
Ho 0.500 0.500 0.500
Pm 0.667 0.333 0.000
Dy 0.248 0.248 0.746
Ho 0.833 0.167 0.500
Ho 0.167 0.833 0.500
Dy 0.915 0.581 0.746
Dy 0.085 0.419 0.254
Pr 0.000 0.000 0.000
Dy 0.752 0.752 0.254
Dy 0.419 0.085 0.254